A plane-wave DFT calculation with PBE was carried out for a geometry-optimized NiAg2Au structure.

Lattice parameters (Å, degrees): 2.8578 2.8578 27.6358 90.00 90.00 120.00
Space group R3m (No. 160, hexagonal axes)
Symmetry-distinct sites (fractional):
Ni1 0.0000 0.0000 0.0000 [3 per cell]
Ag1 0.0000 0.0000 0.2560 [3 per cell]
Ag2 0.0000 0.0000 0.5002 [3 per cell]
Au1 0.0000 0.0000 0.7434 [3 per cell]

Results
E_tot: -3.540 eV/atom
Formation energy: 0.150 eV/atom
Distance to the lowest polymorph of the same formula: 55.0 meV per atom